A relaxed structure of Hf2GaBi2. Source: Alexandria via LeMat-Bulk, functional PBE.

The value obtained for the formation energy is -0.38 eV per formula unit. The calculation puts the volume at 242.9 Å³/cell.

The space group is P4/mbm (No. 127) and the conventional cell measures 7.653, 7.653 and 4.148 Å, with angles of 90.00, 90.00 and 90.00 degrees. The inequivalent atoms are Hf at (0.149, 0.351, 0.000), Ga at (0.000, 0.000, 0.000) and Bi at (0.156, 0.656, 0.500).